# PBE CeTmCd4, optimized geometry
# polymorph energy (0 for the lowest one) = 0 meV per atom
# size of the total moment = 1.3 μB per cell
# energy relative to the elements = -0.262 eV/atom
# E_tot = -15.64 eV for the cell shown
data_CeTmCd4
_cell_length_a 3.315
_cell_length_b 5.047
_cell_length_c 8.758
_cell_angle_alpha 90.00
_cell_angle_beta 90.00
_cell_angle_gamma 90.00
_space_group_name_H-M_alt 'P m m m'
_space_group_IT_number 47
loop_
_space_group_symop_operation_xyz
'x,y,z'
'-x,-y,-z'
'-x,-y,z'
'x,y,-z'
'x,-y,-z'
'-x,y,z'
'-x,y,-z'
'x,-y,z'
loop_
_atom_site_label
_atom_site_fract_x
_atom_site_fract_y
_atom_site_fract_z
_atom_site_occupancy
Ce1 0.000 0.000 0.000 1
Tm1 0.000 0.500 0.500 1
Cd1 0.500 0.000 0.338 1
Cd2 0.500 0.500 0.172 1